[1]
Material: TaZnCoPt
Method: DFT, GGA-PBE
State: relaxed

Output
As for the volume: 59.2 Å³/f.u. The calculation puts the formation energy at -0.083 eV per atom. As for the crystal system: cubic. The relative energy among the computed polymorphs is 238.1 meV per atom. Its space group is F-43m, No. 216.

Lattice parameters (Å, degrees): 4.3759 4.3759 4.3759 60.00 60.00 60.00
Fractional positions:
Ta  0.0000  0.0000  0.0000
Zn  0.2500  0.2500  0.2500
Co  0.5000  0.5000  0.5000
Pt  0.7500  0.7500  0.7500

---

[2]
Material: TlCoTcPt
Method: DFT, GGA-PBE
State: relaxed

Output
As for the volume: 65.8 Å³/f.u. As for the crystal system: cubic. The relative energy among the computed polymorphs is 0.0 meV per atom. Its space group is F-43m, No. 216.

Lattice parameters (Å, degrees): 4.5307 4.5307 4.5307 60.00 60.00 60.00
Fractional positions:
Tl  0.0000  0.0000  0.0000
Co  0.2500  0.2500  0.2500
Tc  0.5000  0.5000  0.5000
Pt  0.7500  0.7500  0.7500

---

[3]
Material: ZnCoTcPt
Method: DFT, GGA-PBE
State: relaxed

Output
As for the volume: 57.0 Å³/f.u. The calculation puts the formation energy at 0.077 eV per atom. As for the crystal system: cubic. The relative energy among the computed polymorphs is 0.0 meV per atom. Its space group is F-43m, No. 216.

Lattice parameters (Å, degrees): 4.3207 4.3207 4.3207 60.00 60.00 60.00
Fractional positions:
Zn  0.0000  0.0000  0.0000
Co  0.2500  0.2500  0.2500
Tc  0.5000  0.5000  0.5000
Pt  0.7500  0.7500  0.7500

---

[4]
Material: ZrTlCoPt
Method: DFT, GGA-PBE
State: relaxed

Output
As for the volume: 71.3 Å³/f.u. As for the crystal system: cubic. The relative energy among the computed polymorphs is 208.1 meV per atom. Its space group is F-43m, No. 216.

Lattice parameters (Å, degrees): 4.6545 4.6545 4.6545 60.00 60.00 60.00
Fractional positions:
Zr  0.0000  0.0000  0.0000
Tl  0.2500  0.2500  0.2500
Co  0.5000  0.5000  0.5000
Pt  0.7500  0.7500  0.7500

---

[5]
Material: ZrTlCoPt
Method: DFT, GGA-PBE
State: relaxed

Output
As for the volume: 70.5 Å³/f.u. As for the crystal system: cubic. The relative energy among the computed polymorphs is 0.0 meV per atom. Its space group is F-43m, No. 216.

Lattice parameters (Å, degrees): 4.6375 4.6375 4.6375 60.00 60.00 60.00
Fractional positions:
Zr  0.0000  0.0000  0.0000
Tl  0.5000  0.5000  0.5000
Co  0.7500  0.7500  0.7500
Pt  0.2500  0.2500  0.2500

---

[6]
Material: TmCoPt
Method: DFT, GGA-PBE
State: relaxed

Output
As for the volume: 61.0 Å³/f.u. The calculation puts the formation energy at 0.099 eV per atom. As for the crystal system: cubic. Its space group is F-43m, No. 216.

Lattice parameters (Å, degrees): 4.4184 4.4184 4.4184 60.00 60.00 60.00
Fractional positions:
Tm  0.0000  0.0000  0.0000
Co  0.7500  0.7500  0.7500
Pt  0.2500  0.2500  0.2500

---

[7]
Material: TmCoPt
Method: DFT, GGA-PBE
State: relaxed

Output
As for the volume: 62.4 Å³/f.u. The calculation puts the formation energy at -0.292 eV per atom. As for the crystal system: cubic. Its space group is F-43m, No. 216.

Lattice parameters (Å, degrees): 4.4519 4.4519 4.4519 60.00 60.00 60.00
Fractional positions:
Tm  0.0000  0.0000  0.0000
Co  0.5000  0.5000  0.5000
Pt  0.7500  0.7500  0.7500

---

[8]
Material: CoPt2W
Method: DFT, GGA-PBE
State: relaxed

Output
As for the volume: 58.4 Å³/f.u. The calculation puts the formation energy at 0.067 eV per atom. As for the crystal system: cubic. Its space group is F-43m, No. 216.

Lattice parameters (Å, degrees): 4.3554 4.3554 4.3554 60.00 60.00 60.00
Fractional positions:
Co  0.0000  0.0000  0.0000
Pt  0.2500  0.2500  0.2500
Pt  0.5000  0.5000  0.5000
W  0.7500  0.7500  0.7500

---

[9]
Material: ZnCoPtW
Method: DFT, GGA-PBE
State: relaxed

Output
As for the volume: 56.8 Å³/f.u. The calculation puts the formation energy at 0.052 eV per atom. As for the crystal system: cubic. The relative energy among the computed polymorphs is 0.0 meV per atom. Its space group is F-43m, No. 216.

Lattice parameters (Å, degrees): 4.3148 4.3148 4.3148 60.00 60.00 60.00
Fractional positions:
Zn  0.0000  0.0000  0.0000
Co  0.2500  0.2500  0.2500
Pt  0.7500  0.7500  0.7500
W  0.5000  0.5000  0.5000

---

[10]
Material: ZnCoPtW
Method: DFT, GGA-PBE
State: relaxed

Output
As for the volume: 56.8 Å³/f.u. The calculation puts the formation energy at 0.184 eV per atom. As for the crystal system: cubic. The relative energy among the computed polymorphs is 132.1 meV per atom. Its space group is F-43m, No. 216.

Lattice parameters (Å, degrees): 4.3140 4.3140 4.3140 60.00 60.00 60.00
Fractional positions:
Zn  0.0000  0.0000  0.0000
Co  0.2500  0.2500  0.2500
Pt  0.5000  0.5000  0.5000
W  0.7500  0.7500  0.7500

---

[11]
Material: YCo2Pt
Method: DFT, GGA-PBE
State: relaxed

Output
As for the volume: 65.5 Å³/f.u. The calculation puts the formation energy at -0.094 eV per atom. As for the crystal system: cubic. Its space group is F-43m, No. 216.

Lattice parameters (Å, degrees): 4.5249 4.5249 4.5249 60.00 60.00 60.00
Fractional positions:
Y  0.0000  0.0000  0.0000
Co  0.2500  0.2500  0.2500
Co  0.5000  0.5000  0.5000
Pt  0.7500  0.7500  0.7500

---

[12]
Material: YZnCoPt
Method: DFT, GGA-PBE
State: relaxed

Output
As for the volume: 70.4 Å³/f.u. The calculation puts the formation energy at -0.251 eV per atom. As for the crystal system: cubic. The relative energy among the computed polymorphs is 157.3 meV per atom. Its space group is F-43m, No. 216.

Lattice parameters (Å, degrees): 4.6344 4.6344 4.6344 60.00 60.00 60.00
Fractional positions:
Y  0.0000  0.0000  0.0000
Zn  0.2500  0.2500  0.2500
Co  0.5000  0.5000  0.5000
Pt  0.7500  0.7500  0.7500